[1]
Compound: Be2RhSeO
Source: the Alexandria database
Functional: PBE
Structure: optimized geometry

Lattice parameters (Å, degrees): 4.4739 4.4739 3.6785 90.00 90.00 90.00
Positions (direct):
Se1 0.5000 0.5000 0.5000
Be1 0.5000 0.0000 0.0000
Be2 0.0000 0.5000 0.0000
Rh1 0.0000 0.0000 0.0000
O1 0.0000 0.0000 0.5000

Results
Symmetry: P4/mmm
Mass density: 4.87 g cm⁻³

[2]
Compound: Sr3Be2RhO6
Source: the Alexandria database
Functional: PBE
Structure: optimized geometry

Lattice parameters (Å, degrees): 5.4984 5.4984 6.5915 90.00 90.00 120.00
Each line ends with the local moment (μB).
Positions (direct):
Rh1 0.0000 0.0000 0.5000  0.59
O1 0.6536 0.8268 0.2847  0.01
O2 0.1732 0.8268 0.2847  0.01
O3 0.8268 0.1732 0.7153  0.01
O4 0.8268 0.6536 0.7153  0.01
O5 0.3464 0.1732 0.7153  0.01
O6 0.1732 0.3464 0.2847  0.01
Sr1 0.3333 0.6667 0.6708  0.01
Sr2 0.0000 0.0000 0.0000  0.01
Sr3 0.6667 0.3333 0.3292  0.01
Be1 0.3333 0.6667 0.2603  0.02
Be2 0.6667 0.3333 0.7397  0.02

Results
Symmetry: P-3m1
Mass density: 4.62 g cm⁻³

no.,calculated total energy (eV per atom),E_form (uncorrected) (meV per atom)
1,-4.49,155
2,-6.28,-2149